# 1
The following is a DFT calculation (PBE) of TaAl2Pd8 after structural relaxation.

The structure in CIF format:
```
data_TaAl2Pd8
_chemical_formula_sum 'Ta2 Al4 Pd16'
_space_group_name_H-M_alt 'I m m m'
_space_group_IT_number 71
_space_group_name_Hall '-I 2 2'
_cell_length_a 4.004
_cell_length_b 6.964
_cell_length_c 12.284
_cell_angle_alpha 90.00
_cell_angle_beta 90.00
_cell_angle_gamma 90.00
loop_
_atom_site_label
_atom_site_type_symbol
_atom_site_fract_x
_atom_site_fract_y
_atom_site_fract_z
_atom_site_occupancy
Ta1 Ta 0.000 0.000 0.000 1
Al1 Al 0.000 0.000 0.315 1
Pd1 Pd 0.000 0.203 0.500 1
Pd2 Pd 0.000 0.277 0.164 1
Pd3 Pd 0.000 0.500 0.353 1
```

The value obtained for the energy of formation from the pure elements is -0.608 eV/atom. The value obtained for the energy above the most stable polymorph in this dataset is 0 meV/atom.

---

# 2
The following is a DFT calculation (PBE) of Zr2CoCu after structural relaxation.

The structure in CIF format:
```
data_Zr2CoCu
_chemical_formula_sum 'Zr8 Co4 Cu4'
_space_group_name_H-M_alt 'I -4 2 d'
_space_group_IT_number 122
_space_group_name_Hall 'I -4 2bw'
_cell_length_a 7.146
_cell_length_b 7.146
_cell_length_c 5.573
_cell_angle_alpha 90.00
_cell_angle_beta 90.00
_cell_angle_gamma 90.00
loop_
_atom_site_label
_atom_site_type_symbol
_atom_site_fract_x
_atom_site_fract_y
_atom_site_fract_z
_atom_site_occupancy
Zr1 Zr 0.221 0.250 0.125 1
Co1 Co 0.000 0.000 0.000 1
Cu1 Cu 0.000 0.000 0.500 1
```

The value obtained for the energy of formation from the pure elements is 0.185 eV/atom.

---

# 3
The following is a DFT calculation (PBE) of Sc3GePb after structural relaxation.

The structure in CIF format:
```
data_Sc3GePb
_chemical_formula_sum 'Sc3 Ge1 Pb1'
_space_group_name_H-M_alt 'P m -3 m'
_space_group_IT_number 221
_space_group_name_Hall '-P 4 2 3'
_cell_length_a 5.052
_cell_length_b 5.052
_cell_length_c 5.052
_cell_angle_alpha 90.00
_cell_angle_beta 90.00
_cell_angle_gamma 90.00
loop_
_atom_site_label
_atom_site_type_symbol
_atom_site_fract_x
_atom_site_fract_y
_atom_site_fract_z
_atom_site_occupancy
Sc1 Sc 0.000 0.000 0.500 1
Ge1 Ge 0.000 0.000 0.000 1
Pb1 Pb 0.500 0.500 0.500 1
```

The value obtained for the energy of formation from the pure elements is -0.360 eV/atom. The value obtained for the energy above the most stable polymorph in this dataset is 33 meV/atom.

---

# 4
The following is a DFT calculation (PBE) of Ag2Sb2Se3 after structural relaxation.

The structure in CIF format:
```
data_Ag2Sb2Se3
_chemical_formula_sum 'Ag4 Sb4 Se6'
_space_group_name_H-M_alt 'C 1 2/m 1'
_space_group_IT_number 12
_space_group_name_Hall '-C 2y'
_cell_length_a 12.807
_cell_length_b 3.951
_cell_length_c 7.367
_cell_angle_alpha 90.00
_cell_angle_beta 105.35
_cell_angle_gamma 90.00
loop_
_atom_site_label
_atom_site_type_symbol
_atom_site_fract_x
_atom_site_fract_y
_atom_site_fract_z
_atom_site_occupancy
Ag1 Ag 0.067 0.000 0.184 1
Sb1 Sb 0.115 0.500 0.820 1
Se1 Se 0.000 0.000 0.500 1
Se2 Se 0.220 0.500 0.201 1
```

The formation energy from raw total energies is -0.0359 eV per atom.

---

# 5
The following is a DFT calculation (PBE) of Sr3InHg after structural relaxation.

The structure in CIF format:
```
data_Sr3InHg
_chemical_formula_sum 'Sr12 In4 Hg4'
_space_group_name_H-M_alt 'C m c m'
_space_group_IT_number 63
_space_group_name_Hall '-C 2c 2'
_cell_length_a 5.811
_cell_length_b 22.144
_cell_length_c 5.805
_cell_angle_alpha 90.00
_cell_angle_beta 90.00
_cell_angle_gamma 90.00
loop_
_atom_site_label
_atom_site_type_symbol
_atom_site_fract_x
_atom_site_fract_y
_atom_site_fract_z
_atom_site_occupancy
Sr1 Sr 0.000 0.073 0.250 1
Sr2 Sr 0.000 0.249 0.250 1
Sr3 Sr 0.000 0.425 0.250 1
In1 In 0.000 0.158 0.750 1
Hg1 Hg 0.000 0.342 0.750 1
```

The value obtained for the energy of formation from the pure elements is -0.407 eV/atom. The value obtained for the energy above the most stable polymorph in this dataset is 0 meV/atom.

---

# 6
The following is a DFT calculation (PBE) of ScZnS3 after structural relaxation.

The structure in CIF format:
```
data_ScZnS3
_chemical_formula_sum 'Sc1 Zn1 S3'
_space_group_name_H-M_alt 'P m -3 m'
_space_group_IT_number 221
_space_group_name_Hall '-P 4 2 3'
_cell_length_a 4.610
_cell_length_b 4.610
_cell_length_c 4.610
_cell_angle_alpha 90.00
_cell_angle_beta 90.00
_cell_angle_gamma 90.00
loop_
_atom_site_label
_atom_site_type_symbol
_atom_site_fract_x
_atom_site_fract_y
_atom_site_fract_z
_atom_site_occupancy
Sc1 Sc 0.000 0.000 0.000 1
Zn1 Zn 0.500 0.500 0.500 1
S1 S 0.000 0.500 0.500 1
```

The formation energy from raw total energies is -0.2446 eV per atom. The value obtained for the energy above the most stable polymorph in this dataset is 27 meV/atom.

---

# 7
The following is a DFT calculation (PBE) of Y4C5 after structural relaxation.

The structure in CIF format:
```
data_Y4C5
_chemical_formula_sum 'Y8 C10'
_space_group_name_H-M_alt 'I 4/m m m'
_space_group_IT_number 139
_space_group_name_Hall '-I 4 2'
_cell_length_a 9.545
_cell_length_b 9.545
_cell_length_c 2.979
_cell_angle_alpha 90.00
_cell_angle_beta 90.00
_cell_angle_gamma 90.00
loop_
_atom_site_label
_atom_site_type_symbol
_atom_site_fract_x
_atom_site_fract_y
_atom_site_fract_z
_atom_site_occupancy
Y1 Y 0.000 0.246 0.000 1
C1 C 0.000 0.000 0.000 1
C2 C 0.224 0.224 0.500 1
```

The value obtained for the energy of formation from the pure elements is 0.325 eV/atom. The value obtained for the energy above the most stable polymorph in this dataset is 651 meV/atom.

---

# 8
The following is a DFT calculation (PBE) of PmEuY after structural relaxation.

The structure in CIF format:
```
data_PmEuY
_chemical_formula_sum 'Pm2 Eu2 Y2'
_space_group_name_H-M_alt 'I 4 m m'
_space_group_IT_number 107
_space_group_name_Hall 'I 4 -2'
_cell_length_a 3.698
_cell_length_b 3.698
_cell_length_c 15.615
_cell_angle_alpha 90.00
_cell_angle_beta 90.00
_cell_angle_gamma 90.00
loop_
_atom_site_label
_atom_site_type_symbol
_atom_site_fract_x
_atom_site_fract_y
_atom_site_fract_z
_atom_site_occupancy
Pm1 Pm 0.000 0.000 0.000 1
Eu1 Eu 0.000 0.000 0.325 1
Y1 Y 0.000 0.000 0.652 1
```

The value obtained for the energy of formation from the pure elements is 0.045 eV/atom.

---

# 9
The following is a DFT calculation (PBE) of TbB6 after structural relaxation.

The structure in CIF format:
```
data_TbB6
_chemical_formula_sum 'Tb1 B6'
_space_group_name_H-M_alt 'P 4/m m m'
_space_group_IT_number 123
_space_group_name_Hall '-P 4 2'
_cell_length_a 3.113
_cell_length_b 3.113
_cell_length_c 6.468
_cell_angle_alpha 90.00
_cell_angle_beta 90.00
_cell_angle_gamma 90.00
loop_
_atom_site_label
_atom_site_type_symbol
_atom_site_fract_x
_atom_site_fract_y
_atom_site_fract_z
_atom_site_occupancy
Tb1 Tb 0.000 0.000 0.000 1
B1 B 0.000 0.500 0.363 1
B2 B 0.500 0.500 0.239 1
```

The value obtained for the energy of formation from the pure elements is 0.088 eV/atom. The value obtained for the energy above the most stable polymorph in this dataset is 499 meV/atom.

---

# 10
The following is a DFT calculation (PBE) of Tm6SbPb3 after structural relaxation.

The structure in CIF format:
```
data_Tm6SbPb3
_chemical_formula_sum 'Tm12 Sb2 Pb6'
_space_group_name_H-M_alt 'P 1 21/m 1'
_space_group_IT_number 11
_space_group_name_Hall '-P 2yb'
_cell_length_a 11.913
_cell_length_b 3.749
_cell_length_c 13.258
_cell_angle_alpha 90.00
_cell_angle_beta 98.44
_cell_angle_gamma 90.00
loop_
_atom_site_label
_atom_site_type_symbol
_atom_site_fract_x
_atom_site_fract_y
_atom_site_fract_z
_atom_site_occupancy
Tm1 Tm 0.023 0.250 0.343 1
Tm2 Tm 0.064 0.250 0.884 1
Tm3 Tm 0.270 0.750 0.317 1
Tm4 Tm 0.270 0.750 0.750 1
Tm5 Tm 0.389 0.250 0.534 1
Tm6 Tm 0.427 0.750 0.120 1
Sb1 Sb 0.476 0.250 0.310 1
Pb1 Pb 0.164 0.250 0.131 1
Pb2 Pb 0.167 0.750 0.519 1
Pb3 Pb 0.329 0.250 0.937 1
```

The formation energy from raw total energies is -0.3735 eV per atom.

---

# 11
The following is a DFT calculation (PBE) of VCd2Cl6 after structural relaxation.

The structure in CIF format:
```
data_VCd2Cl6
_chemical_formula_sum 'V3 Cd6 Cl18'
_space_group_name_H-M_alt 'R -3'
_space_group_IT_number 148
_space_group_name_Hall '-R 3'
_cell_length_a 6.6091
_cell_length_b 6.6091
_cell_length_c 18.0284
_cell_angle_alpha 90.00
_cell_angle_beta 90.00
_cell_angle_gamma 120.00
loop_
_atom_site_label
_atom_site_type_symbol
_atom_site_fract_x
_atom_site_fract_y
_atom_site_fract_z
_atom_site_occupancy
V1 V 0.0000 0.0000 0.0000 1
Cd1 Cd 0.0000 0.0000 0.1929 1
Cl1 Cl 0.0132 0.7080 0.0833 1
```

The formation energy from raw total energies is -1.0592 eV per atom.

---

# 12
The following is a DFT calculation (PBE) of Pm4Sm5Cd2 after structural relaxation.

The structure in CIF format:
```
data_Pm4Sm5Cd2
_chemical_formula_sum 'Pm4 Sm5 Cd2'
_space_group_name_H-M_alt 'P 1 2/m 1'
_space_group_IT_number 10
_space_group_name_Hall '-P 2y'
_cell_length_a 8.745
_cell_length_b 3.535
_cell_length_c 11.387
_cell_angle_alpha 90.00
_cell_angle_beta 94.11
_cell_angle_gamma 90.00
loop_
_atom_site_label
_atom_site_type_symbol
_atom_site_fract_x
_atom_site_fract_y
_atom_site_fract_z
_atom_site_occupancy
Pm1 Pm 0.147 0.000 0.379 1
Pm2 Pm 0.267 0.000 0.952 1
Sm1 Sm 0.204 0.500 0.666 1
Sm2 Sm 0.437 0.500 0.202 1
Sm3 Sm 0.500 0.500 0.500 1
Cd1 Cd 0.056 0.500 0.133 1
```

The value obtained for the energy of formation from the pure elements is -0.003 eV/atom.

---

Total moment per entry: 0.000, 0.000, 0.000, 0.000, 0.000, 0.000, 0.000, 2.399, 0.000, 0.121, 0.333, 0.000 μB per atom